# SrSc2Se | Alexandria | PBE-GGA | relaxed
data_SrSc2Se
_chemical_formula_sum 'Sr3 Sc6 Se3'
_symmetry_space_group_name_H-M 'R -3 m'
_symmetry_Int_Tables_number 166
_symmetry_space_group_name_Hall '-R 3 2"'
_cell_length_a 3.7756
_cell_length_b 3.7756
_cell_length_c 32.9640
_cell_angle_alpha 90.00
_cell_angle_beta 90.00
_cell_angle_gamma 120.00
loop_
_atom_site_label
_atom_site_fract_x
_atom_site_fract_y
_atom_site_fract_z
Sr1 0.0000 0.0000 0.0000
Sc1 0.0000 0.0000 0.4259
Se1 0.0000 0.0000 0.5000
# Formation energy (no corrections), eV per atom: 0.00

# SrScTa2Se | Alexandria | PBE-GGA | relaxed
data_SrScTa2Se
_chemical_formula_sum 'Sr1 Sc1 Ta2 Se1'
_symmetry_space_group_name_H-M 'P 4/m m m'
_symmetry_Int_Tables_number 123
_symmetry_space_group_name_Hall '-P 4 2'
_cell_length_a 4.752
_cell_length_b 4.752
_cell_length_c 6.365
_cell_angle_alpha 90.00
_cell_angle_beta 90.00
_cell_angle_gamma 90.00
loop_
_atom_site_label
_atom_site_fract_x
_atom_site_fract_y
_atom_site_fract_z
Sr1 0.000 0.000 0.000
Sc1 0.000 0.000 0.500
Ta1 0.000 0.500 0.500
Se1 0.500 0.500 0.000
# Formation energy (no corrections), eV per atom: 1.41